First-principles (PBE-GGA) data for a relaxed CaH6Rh crystal, as listed in Alexandria.

Unit cell a=4.8917 b=4.8917 c=4.8526 alpha=53.57 beta=53.57 gamma=52.87
Last column: nearest neighbours and their distance in Å.
Positions (direct):
H (0.8686, 0.8686, 0.8610)  1 Rh 1.68
H (0.9695, 0.4102, 0.6336)  1 H 1.02
H (0.0305, 0.5898, 0.3664)  1 H 1.02
Rh (0.0000, 0.0000, 0.0000)  6 H 1.68-1.71
H (0.4102, 0.9695, 0.6336)  1 H 1.02
H (0.1314, 0.1314, 0.1390)  1 Rh 1.68
H (0.5898, 0.0305, 0.3664)  1 H 1.02
Ca (0.5000, 0.5000, 0.5000)  14 H 2.47-2.60

Calculated density, kg/m3: 3572
Final energy, eV per cell: -31.1
V, Å³/cell: 69.3
DOS(E_F), states/eV/cell: 0.67